## i
# Y2MnRe, optimized geometry, DFT GGA-PBE
data_Y2MnRe
_space_group_name_H-M_alt 'P 4/m m m'
_space_group_IT_number 123
_space_group_name_Hall '-P 4 2'
_cell_length_a 3.531
_cell_length_b 3.531
_cell_length_c 6.949
_cell_angle_alpha 90.00
_cell_angle_beta 90.00
_cell_angle_gamma 90.00
loop_
_atom_site_label
_atom_site_fract_x
_atom_site_fract_y
_atom_site_fract_z
Y1 0.000 0.000 0.235
Mn1 0.500 0.500 0.500
Re1 0.500 0.500 0.000
# DOS(E_F) (states/eV/atom): 1.1451



## ii
# Y2MnRe, optimized geometry, DFT GGA-PBE
data_Y2MnRe
_space_group_name_H-M_alt 'R -3 m'
_space_group_IT_number 166
_space_group_name_Hall '-R 3 2"'
_cell_length_a 3.3552
_cell_length_b 3.3552
_cell_length_c 27.4916
_cell_angle_alpha 90.00
_cell_angle_beta 90.00
_cell_angle_gamma 120.00
loop_
_atom_site_label
_atom_site_fract_x
_atom_site_fract_y
_atom_site_fract_z
Y1 0.0000 0.0000 0.2437
Mn1 0.0000 0.0000 0.0000
Re1 0.0000 0.0000 0.5000
# DOS(E_F) (states/eV/atom): 0.8019



Tell me which of them is the least stable. Sure, it is ii.



## i
# Ag6Pt5, optimized geometry, DFT GGA-PBE
data_Ag6Pt5
_space_group_name_H-M_alt 'C 1 m 1'
_space_group_IT_number 8
_space_group_name_Hall 'C -2y'
_cell_length_a 14.761
_cell_length_b 2.818
_cell_length_c 8.826
_cell_angle_alpha 90.00
_cell_angle_beta 94.03
_cell_angle_gamma 90.00
loop_
_atom_site_label
_atom_site_fract_x
_atom_site_fract_y
_atom_site_fract_z
Ag1 0.000 0.000 0.000
Ag2 0.044 0.500 0.727
Ag3 0.137 0.500 0.180
Ag4 0.185 0.000 0.907
Ag5 0.273 0.000 0.359
Ag6 0.360 0.000 0.810
Pt1 0.088 0.000 0.455
Pt2 0.223 0.500 0.620
Pt3 0.324 0.500 0.095
Pt4 0.408 0.500 0.543
Pt5 0.455 0.000 0.276
# DOS(E_F) (states/eV/atom): 0.5146



## ii
# Ag6Pt5, optimized geometry, DFT GGA-PBE
data_Ag6Pt5
_space_group_name_H-M_alt 'C 1 2/m 1'
_space_group_IT_number 12
_space_group_name_Hall '-C 2y'
_cell_length_a 9.036
_cell_length_b 4.096
_cell_length_c 10.277
_cell_angle_alpha 90.00
_cell_angle_beta 104.95
_cell_angle_gamma 90.00
loop_
_atom_site_label
_atom_site_fract_x
_atom_site_fract_y
_atom_site_fract_z
Ag1 0.088 0.000 0.140
Ag2 0.140 0.500 0.953
Ag3 0.230 0.500 0.589
Pt1 0.000 0.000 0.500
Pt2 0.037 0.500 0.319
Pt3 0.183 0.000 0.764
# DOS(E_F) (states/eV/atom): 0.8154



Tell me which of them is the least stable. Sure, it is ii.



## i
# CdBRh3, optimized geometry, DFT GGA-PBE
data_CdBRh3
_space_group_name_H-M_alt 'P m -3 m'
_space_group_IT_number 221
_space_group_name_Hall '-P 4 2 3'
_cell_length_a 4.873
_cell_length_b 4.873
_cell_length_c 4.873
_cell_angle_alpha 90.00
_cell_angle_beta 90.00
_cell_angle_gamma 90.00
loop_
_atom_site_label
_atom_site_fract_x
_atom_site_fract_y
_atom_site_fract_z
Cd1 0.000 0.000 0.000
B1 0.500 0.500 0.500
Rh1 0.000 0.000 0.500
# DOS(E_F) (states/eV/atom): 1.7047



## ii
# CdBRh3, optimized geometry, DFT GGA-PBE
data_CdBRh3
_space_group_name_H-M_alt 'R -3'
_space_group_IT_number 148
_space_group_name_Hall '-R 3'
_cell_length_a 4.8935
_cell_length_b 4.8935
_cell_length_c 21.8358
_cell_angle_alpha 90.00
_cell_angle_beta 90.00
_cell_angle_gamma 120.00
loop_
_atom_site_label
_atom_site_fract_x
_atom_site_fract_y
_atom_site_fract_z
Cd1 0.0000 0.0000 0.1681
B1 0.0000 0.0000 0.3337
Rh1 0.0021 0.3274 0.9403
# DOS(E_F) (states/eV/atom): 0.6603



Tell me which of them is the least stable. Sure, it is i.



## i
# Sc2Mo, optimized geometry, DFT GGA-PBE
data_Sc2Mo
_space_group_name_H-M_alt 'P 63/m m c'
_space_group_IT_number 194
_space_group_name_Hall '-P 6c 2c'
_cell_length_a 4.7808
_cell_length_b 4.7808
_cell_length_c 5.9958
_cell_angle_alpha 90.00
_cell_angle_beta 90.00
_cell_angle_gamma 120.00
loop_
_atom_site_label
_atom_site_fract_x
_atom_site_fract_y
_atom_site_fract_z
Sc1 0.0000 0.0000 0.0000
Sc2 0.3333 0.6667 0.2500
Mo1 0.3333 0.6667 0.7500
# DOS(E_F) (states/eV/atom): 0.5121



## ii
# Sc2Mo, optimized geometry, DFT GGA-PBE
data_Sc2Mo
_space_group_name_H-M_alt 'F m -3 m'
_space_group_IT_number 225
_space_group_name_Hall '-F 4 2 3'
_cell_length_a 6.488
_cell_length_b 6.488
_cell_length_c 6.488
_cell_angle_alpha 90.00
_cell_angle_beta 90.00
_cell_angle_gamma 90.00
loop_
_atom_site_label
_atom_site_fract_x
_atom_site_fract_y
_atom_site_fract_z
Sc1 0.250 0.250 0.250
Mo1 0.000 0.000 0.000
# DOS(E_F) (states/eV/atom): 1.0789



Tell me which of them is the least stable. Sure, it is ii.



## i
# LaTa2Pt, optimized geometry, DFT GGA-PBE
data_LaTa2Pt
_space_group_name_H-M_alt 'I m m m'
_space_group_IT_number 71
_space_group_name_Hall '-I 2 2'
_cell_length_a 2.997
_cell_length_b 5.056
_cell_length_c 11.305
_cell_angle_alpha 90.00
_cell_angle_beta 90.00
_cell_angle_gamma 90.00
loop_
_atom_site_label
_atom_site_fract_x
_atom_site_fract_y
_atom_site_fract_z
La1 0.000 0.000 0.000
Ta1 0.000 0.500 0.217
Pt1 0.000 0.000 0.500
# DOS(E_F) (states/eV/atom): 1.3249



## ii
# LaTa2Pt, optimized geometry, DFT GGA-PBE
data_LaTa2Pt
_space_group_name_H-M_alt 'F -4 3 m'
_space_group_IT_number 216
_space_group_name_Hall 'F -4 2 3'
_cell_length_a 6.873
_cell_length_b 6.873
_cell_length_c 6.873
_cell_angle_alpha 90.00
_cell_angle_beta 90.00
_cell_angle_gamma 90.00
loop_
_atom_site_label
_atom_site_fract_x
_atom_site_fract_y
_atom_site_fract_z
La1 0.000 0.000 0.000
Ta1 0.000 0.000 0.500
Ta2 0.250 0.250 0.750
Pt1 0.250 0.250 0.250
# DOS(E_F) (states/eV/atom): 0.8318



Tell me which of them is the least stable. Sure, it is ii.